(1)
Below is NaSbTe2 after structural relaxation, with properties calculated at the GGA-PBE level.

Structure (CIF):
```
data_NaSbTe2
_chemical_formula_sum 'Na1 Sb1 Te2'
_cell_length_a 4.475
_cell_length_b 4.475
_cell_length_c 6.145
_cell_angle_alpha 90.00
_cell_angle_beta 90.00
_cell_angle_gamma 90.00
_space_group_name_H-M_alt 'P 1'
_space_group_IT_number 1
loop_
_space_group_symop_operation_xyz
'x,y,z'
loop_
_atom_site_label
_atom_site_fract_x
_atom_site_fract_y
_atom_site_fract_z
Na1 0.000 0.000 0.000
Sb1 0.500 0.500 0.500
Te1 0.000 0.000 0.500
Te2 0.500 0.500 0.000
```

Summary:
The value obtained for the total moment is 0.00 μB per cell. The calculation puts the formation energy without anion corrections at -140 kJ/mol of formula units. As for the uncorrected energy: -3.30 eV per atom.

=====

(2)
Below is Na2Ca3TiO6 after structural relaxation, with properties calculated at the GGA-PBE level.

Structure (CIF):
```
data_Na2Ca3TiO6
_chemical_formula_sum 'Na2 Ca3 Ti1 O6'
_cell_length_a 5.795
_cell_length_b 5.795
_cell_length_c 5.588
_cell_angle_alpha 100.42
_cell_angle_beta 100.42
_cell_angle_gamma 119.40
_space_group_name_H-M_alt 'P 1'
_space_group_IT_number 1
loop_
_space_group_symop_operation_xyz
'x,y,z'
loop_
_atom_site_label
_atom_site_fract_x
_atom_site_fract_y
_atom_site_fract_z
Na1 0.334 0.666 0.000
Na2 0.666 0.334 0.000
Ca1 0.169 0.831 0.500
Ca2 0.831 0.169 0.500
Ca3 0.500 0.500 0.500
Ti1 0.000 0.000 0.000
O1 0.922 0.633 0.762
O2 0.794 0.794 0.225
O3 0.078 0.367 0.238
O4 0.633 0.922 0.762
O5 0.206 0.206 0.775
O6 0.367 0.078 0.238
```

Summary:
The value obtained for the total moment is 0.00 μB per cell. The calculation puts the formation energy without anion corrections at -3026 kJ/mol of formula units. As for the uncorrected energy: -6.47 eV per atom.